1.
A relaxed structure of Pm6AgRh4. Source: the Alexandria database, functional GGA-PBE.

Calculated values
Volume = 24.59 Å³ per atom
Fermi-level density of states = 0.6516 states/eV per atom
DFT total energy = -66.6 eV/f.u.

Lattice parameters (Å, degrees): 8.2657 8.2935 15.7852 90.00 90.00 90.00
Closest atoms and distances in Å follow each position.
Space group Fmm2 (No. 42)
One atom of each set of equivalent atoms:
1 Pm 0.0000 0.2209 0.0000 [8 per cell]  5 Rh 2.90-3.11
2 Pm 0.2214 0.0000 0.6363 [8 per cell]  5 Rh 2.91-3.10
3 Pm 0.2500 0.2500 0.3181 [8 per cell]  2 Ag 2.93, 4 Rh 2.98
4 Ag 0.0000 0.0000 0.8189 [4 per cell]  4 Pm 2.93, 4 Rh 3.18-3.20
5 Rh 0.0000 0.2124 0.1839 [8 per cell]  7 Pm 2.90-3.10, 1 Ag 3.20
6 Rh 0.2106 0.0000 0.4521 [8 per cell]  7 Pm 2.91-3.11, 1 Ag 3.18

2.
A relaxed structure of Hf8SnAs2. Source: the Alexandria database, functional GGA-PBE.

Calculated values
Volume = 21.45 Å³ per atom
Fermi-level density of states = 0.8087 states/eV per atom
DFT total energy = -96.8 eV/f.u.

Lattice parameters (Å, degrees): 8.0360 11.9434 5.1186 90.00 106.12 90.00
Closest atoms and distances in Å follow each position.
Space group C2/m (No. 12)
One atom of each set of equivalent atoms:
1 Hf 0.0000 0.2493 0.0000 [4 per cell]  2 As 2.67, 1 Sn 2.98
2 Hf 0.1102 0.5000 0.8217 [4 per cell]  2 As 2.76, 1 Hf 2.88, 1 Sn 3.01
3 Hf 0.2021 0.1231 0.6019 [8 per cell]  2 As 2.70-2.76, 1 Hf 2.94
4 Sn 0.0000 0.0000 0.0000 [2 per cell]  8 Hf 2.98-3.29
5 As 0.0000 0.3137 0.5000 [4 per cell]  8 Hf 2.67-2.76

3.
A relaxed structure of Pm2TmThTe5. Source: the Alexandria database, functional GGA-PBE.

Calculated values
Volume = 38.95 Å³ per atom
ΔE_f (raw) = -588 kJ/mol of formula units
Fermi-level density of states = 0.9851 states/eV per atom
DFT total energy = -43.2 eV/f.u.

Lattice parameters (Å, degrees): 5.4514 5.4514 11.7944 90.00 90.00 90.00
Closest atoms and distances in Å follow each position.
Space group P4/mmm (No. 123)
One atom of each set of equivalent atoms:
1 Pm 0.0000 0.0000 0.1540 [2 per cell]  4 Te 3.28, 1 Pm 3.63
2 Tm 0.5000 0.5000 0.0000 [1 per cell]  6 Te 2.73-2.96
3 Th 0.5000 0.5000 0.5000 [1 per cell]  2 Te 2.94
4 Te 0.0000 0.0000 0.5000 [1 per cell]  4 Th 3.85, 2 Pm 4.08
5 Te 0.0000 0.5000 0.0000 [2 per cell]  2 Tm 2.73
6 Te 0.5000 0.5000 0.2508 [2 per cell]  1 Th 2.94, 1 Tm 2.96

4.
A relaxed structure of TbSb2S6. Source: the Alexandria database, functional GGA-PBE.

Calculated values
Volume = 25.41 Å³ per atom
ΔE_f (raw) = -396 kJ/mol of formula units
Fermi-level density of states = 0.4983 states/eV per atom
DFT total energy = -41.7 eV/f.u.

Lattice parameters (Å, degrees): 6.1256 6.1256 12.1889 90.00 90.00 90.00
Closest atoms and distances in Å follow each position.
Space group P4_2/mnm (No. 136)
One atom of each set of equivalent atoms:
1 Tb 0.0000 0.0000 0.0000 [2 per cell]  6 S 2.71-2.73
2 Sb 0.0000 0.0000 0.3347 [4 per cell]  6 S 2.58-2.62
3 S 0.1854 0.1854 0.5000 [4 per cell]  2 Sb 2.58, 1 Tb 2.73
4 S 0.1979 0.1979 0.1725 [8 per cell]  2 Sb 2.62, 1 Tb 2.71

5.
A relaxed structure of TbScNiIr. Source: the Alexandria database, functional GGA-PBE.

Calculated values
Volume = 18.32 Å³ per atom
Fermi-level density of states = 0.5012 states/eV per atom
DFT total energy = -28.3 eV/f.u.

Lattice parameters (Å, degrees): 6.6434 6.6434 6.6434 90.00 90.00 90.00
Closest atoms and distances in Å follow each position.
Space group F-43m (No. 216)
One atom of each set of equivalent atoms:
1 Tb 0.0000 0.0000 0.0000 [4 per cell]  4 Ir 2.88, 4 Ni 2.88
2 Sc 0.0000 0.0000 0.5000 [4 per cell]  4 Ni 2.88, 4 Ir 2.88
3 Ni 0.2500 0.2500 0.7500 [4 per cell]  4 Tb 2.88, 4 Sc 2.88
4 Ir 0.2500 0.2500 0.2500 [4 per cell]  4 Sc 2.88, 4 Tb 2.88

6.
A relaxed structure of Rb2SbAs2. Source: the Alexandria database, functional GGA-PBE.

Calculated values
Volume = 32.15 Å³ per atom
ΔE_f (raw) = -135 kJ/mol of formula units
Fermi-level density of states = 0.6249 states/eV per atom
DFT total energy = -16.8 eV/f.u.
Relative energy among the computed polymorphs = 38 meV/atom

Lattice parameters (Å, degrees): 7.5717 7.5717 5.6080 90.00 90.00 90.00
Closest atoms and distances in Å follow each position.
Space group P4/mbm (No. 127)
One atom of each set of equivalent atoms:
1 Rb 0.1819 0.3181 0.0000 [4 per cell]  6 As 3.55-3.63, 5 Rb 3.90-3.92, 4 Sb 3.94
2 Sb 0.0000 0.0000 0.5000 [2 per cell]  4 As 3.04
3 As 0.1153 0.6153 0.5000 [4 per cell]  1 As 2.47